Material: Cs4TaS4
Method: DFT, PBE
State: optimized geometry

Formation energy from raw total energies = -1116 meV per atom
D(E_F) = 6.173 states/eV per cell
Size of the total moment = 1.04 μB/f.u.

a b c (Å): 7.4352 9.7774 9.7774
angles (deg): 90.00 90.00 90.00
Sites, in units of the cell vectors:
Cs: 0.6420 0.9998 0.7215
Cs: 0.8580 0.4998 0.2215
S: 0.1645 0.0002 0.2052
Cs: 0.1420 0.2215 0.5002
S: 0.3355 0.4998 0.2948
Cs: 0.8580 0.5002 0.7785
Cs: 0.6420 0.0002 0.2785
Cs: 0.1420 0.7785 0.4998
S: 0.1645 0.9998 0.7948
S: 0.3355 0.5002 0.7052
Cs: 0.3580 0.7215 0.0002
Cs: 0.3580 0.2785 0.9998
S: 0.8355 0.2052 0.9998
S: 0.6645 0.7052 0.4998
Ta: 0.0000 0.0000 0.0000
S: 0.8355 0.7948 0.0002
Ta: 0.5000 0.5000 0.5000
S: 0.6645 0.2948 0.5002

Material: TbDy8Cd2
Method: DFT, PBE
State: optimized geometry

D(E_F) = 13.632 states/eV per cell
Size of the total moment = 0.00 μB/f.u.
E = -3.90 eV/atom

a b c (Å): 5.5718 8.7190 8.7190
angles (deg): 119.83 101.09 101.09
Sites, in units of the cell vectors:
Dy: 0.8854 0.6800 0.9054
Dy: 0.7020 0.4002 0.4002
Cd: 0.0000 0.6941 0.3059
Dy: 0.5000 0.2196 0.7804
Tb: 0.5000 0.0000 0.0000
Dy: 0.1146 0.3200 0.0946
Dy: 0.8854 0.9054 0.6800
Dy: 0.5000 0.7804 0.2196
Dy: 0.2980 0.5998 0.5998
Dy: 0.1146 0.0946 0.3200
Cd: 0.0000 0.3059 0.6941

Question: Which formula does entry 2 have?
Answer: TbDy8Cd2

Question: size of the total moment of number 2 (TbDy8Cd2)?
Answer: 0.00 μB/f.u.

Question: The highest D(E_F) belongs to which entry?
Answer: TbDy8Cd2